No. 1
This record from Alexandria via LeMat-Bulk describes a geometry-optimized SiBSb2 structure. The functional is PBE.

Unit cell a=4.7634 b=4.7634 c=4.7634 alpha=60.00 beta=60.00 gamma=60.00
Atoms (fractional coordinates):
B (0.0000, 0.0000, 0.0000)
Si (0.5000, 0.5000, 0.5000)
Sb (0.7500, 0.7500, 0.7500)
Sb (0.2500, 0.2500, 0.2500)

space-group type: No. 225
ΔE to the lowest computed polymorph: 0.572 eV per atom
ΔE_f (raw): 24.840 kcal/mol of atoms


No. 2
This record from Alexandria via LeMat-Bulk describes a geometry-optimized SiB2Sb structure. The functional is PBE.

Unit cell a=4.9612 b=4.9612 c=6.1340 alpha=66.15 beta=66.15 gamma=90.00
Atoms (fractional coordinates):
B (0.3750, 0.4128, 0.7500)
Si (0.5000, 0.5000, 0.0000)
Sb (0.0000, 0.0000, 0.0000)
Si (0.2500, 0.7500, 0.5000)
B (0.5872, 0.1250, 0.2500)
B (0.1628, 0.6250, 0.2500)
Sb (0.7500, 0.2500, 0.5000)
B (0.8750, 0.8372, 0.7500)

space-group type: No. 122
ΔE to the lowest computed polymorph: 0.000 eV per atom
ΔE_f (raw): 8.342 kcal/mol of atoms


No. 3
This record from Alexandria via LeMat-Bulk describes a geometry-optimized SiBSbTe2 structure. The functional is PBE.

Unit cell a=4.8307 b=4.8307 c=4.8585 alpha=90.00 beta=90.00 gamma=90.00
Atoms (fractional coordinates):
Te (0.0000, 0.5000, 0.0000)
Te (0.5000, 0.0000, 0.0000)
Sb (0.0000, 0.0000, 0.5000)
B (0.0000, 0.0000, 0.0000)
Si (0.5000, 0.5000, 0.5000)

space-group type: No. 123
ΔE to the lowest computed polymorph: 0.000 eV per atom
ΔE_f (raw): 20.348 kcal/mol of atoms


No. 4
This record from Alexandria via LeMat-Bulk describes a geometry-optimized TlSi2BSb structure. The functional is PBE.

Unit cell a=5.1921 b=6.0799 c=5.1921 alpha=90.00 beta=90.00 gamma=90.00
Atoms (fractional coordinates):
Si (0.0000, 0.0000, 0.5000)
Sb (0.0000, 0.0000, 0.0000)
Si (0.5000, 0.0000, 0.0000)
B (0.5000, 0.5000, 0.5000)
Tl (0.0000, 0.5000, 0.0000)

space-group type: No. 123
ΔE_f (raw): 44.573 kcal/mol of atoms


No. 5
This record from Alexandria via LeMat-Bulk describes a geometry-optimized SnB2Sb structure. The functional is PBE.

Unit cell a=5.3209 b=5.3209 c=6.4504 alpha=65.64 beta=65.64 gamma=90.00
Atoms (fractional coordinates):
B (0.1201, 0.6250, 0.2500)
Sn (0.5000, 0.5000, 0.0000)
B (0.8750, 0.8799, 0.7500)
Sb (0.7500, 0.2500, 0.5000)
B (0.3750, 0.3701, 0.7500)
Sb (0.0000, 0.0000, 0.0000)
Sn (0.2500, 0.7500, 0.5000)
B (0.6299, 0.1250, 0.2500)

space-group type: No. 122
ΔE to the lowest computed polymorph: 0.000 eV per atom
ΔE_f (raw): 12.761 kcal/mol of atoms


No. 6
This record from Alexandria via LeMat-Bulk describes a geometry-optimized SnBSb structure. The functional is PBE.

Unit cell a=3.9071 b=3.1933 c=20.2464 alpha=90.00 beta=90.00 gamma=90.00
Atoms (fractional coordinates):
Sb (0.5005, 0.2500, 0.5875)
Sb (0.4995, 0.7500, 0.4125)
B (0.4993, 0.2500, 0.0131)
Sn (0.9985, 0.2500, 0.3027)
B (0.0007, 0.2500, 0.5131)
Sn (0.0015, 0.7500, 0.6973)
Sn (0.5015, 0.2500, 0.8027)
Sn (0.4985, 0.7500, 0.1973)
Sb (0.0005, 0.7500, 0.9125)
Sb (0.9995, 0.2500, 0.0875)
B (0.9993, 0.7500, 0.4869)
B (0.5007, 0.7500, 0.9869)

space-group type: No. 62
ΔE_f (raw): 7.454 kcal/mol of atoms


No. 7
This record from Alexandria via LeMat-Bulk describes a geometry-optimized SnB2Sb2 structure. The functional is PBE.

Unit cell a=7.2970 b=7.2970 c=3.6093 alpha=90.00 beta=90.00 gamma=90.00
Atoms (fractional coordinates):
Sn (0.5000, 0.5000, 0.0000)
Sb (0.3323, 0.1677, 0.5000)
Sn (0.0000, 0.0000, 0.0000)
Sb (0.1677, 0.6677, 0.5000)
Sb (0.8323, 0.3323, 0.5000)
Sb (0.6677, 0.8323, 0.5000)
B (0.4194, 0.9194, 0.0000)
B (0.5806, 0.0806, 0.0000)
B (0.0806, 0.4194, 0.0000)
B (0.9194, 0.5806, 0.0000)

space-group type: No. 127
ΔE to the lowest computed polymorph: 0.114 eV per atom
ΔE_f (raw): 21.568 kcal/mol of atoms


No. 8
This record from Alexandria via LeMat-Bulk describes a geometry-optimized Sn3BSb structure. The functional is PBE.

Unit cell a=4.9276 b=4.9276 c=4.9276 alpha=90.00 beta=90.00 gamma=90.00
Atoms (fractional coordinates):
Sn (0.5000, 0.0000, 0.0000)
B (0.0000, 0.0000, 0.0000)
Sn (0.0000, 0.0000, 0.5000)
Sb (0.5000, 0.5000, 0.5000)
Sn (0.0000, 0.5000, 0.0000)

space-group type: No. 221
ΔE to the lowest computed polymorph: 0.000 eV per atom
ΔE_f (raw): 10.934 kcal/mol of atoms


No. 9
This record from Alexandria via LeMat-Bulk describes a geometry-optimized Sn3BSb structure. The functional is PBE.

Unit cell a=5.7515 b=5.7515 c=5.7515 alpha=90.00 beta=90.00 gamma=90.00
Atoms (fractional coordinates):
B (0.5000, 0.5000, 0.5000)
Sn (0.0000, 0.0000, 0.5000)
Sb (0.0000, 0.0000, 0.0000)
Sn (0.5000, 0.0000, 0.0000)
Sn (0.0000, 0.5000, 0.0000)

space-group type: No. 221
ΔE to the lowest computed polymorph: 1.136 eV per atom
ΔE_f (raw): 37.122 kcal/mol of atoms


No. 10
This record from Alexandria via LeMat-Bulk describes a geometry-optimized SnB2Sb2 structure. The functional is PBE.

Unit cell a=4.8162 b=4.8162 c=5.2413 alpha=62.65 beta=62.65 gamma=90.00
Atoms (fractional coordinates):
B (0.6081, 0.6081, 0.7838)
Sb (0.7500, 0.2500, 0.5000)
Sb (0.2500, 0.7500, 0.5000)
Sn (0.0000, 0.0000, 0.0000)
B (0.3919, 0.3919, 0.2162)

space-group type: No. 139
ΔE to the lowest computed polymorph: 0.000 eV per atom
ΔE_f (raw): 18.946 kcal/mol of atoms


No. 11
This record from Alexandria via LeMat-Bulk describes a geometry-optimized SnB2Sb structure. The functional is PBE.

Unit cell a=4.5144 b=4.5144 c=4.5144 alpha=60.00 beta=60.00 gamma=60.00
Atoms (fractional coordinates):
Sb (0.5000, 0.5000, 0.5000)
B (0.7500, 0.7500, 0.7500)
B (0.2500, 0.2500, 0.2500)
Sn (0.0000, 0.0000, 0.0000)

space-group type: No. 225
ΔE to the lowest computed polymorph: 0.920 eV per atom
ΔE_f (raw): 33.965 kcal/mol of atoms


No. 12
This record from Alexandria via LeMat-Bulk describes a geometry-optimized SrSnBSb2 structure. The functional is PBE.

Unit cell a=5.9632 b=4.3107 c=5.9632 alpha=90.00 beta=90.00 gamma=90.00
Atoms (fractional coordinates):
Sb (0.0000, 0.0000, 0.5000)
Sn (0.0000, 0.0000, 0.0000)
Sr (0.5000, 0.5000, 0.5000)
B (0.0000, 0.5000, 0.0000)
Sb (0.5000, 0.0000, 0.0000)

space-group type: No. 123
ΔE_f (raw): 11.567 kcal/mol of atoms


No. 13
This record from Alexandria via LeMat-Bulk describes a geometry-optimized SnBSbTe2 structure. The functional is PBE.

Unit cell a=4.9384 b=4.9384 c=4.9777 alpha=90.00 beta=90.00 gamma=90.00
Atoms (fractional coordinates):
Te (0.5000, 0.0000, 0.0000)
Sb (0.0000, 0.0000, 0.5000)
Sn (0.5000, 0.5000, 0.5000)
Te (0.0000, 0.5000, 0.0000)
B (0.0000, 0.0000, 0.0000)

space-group type: No. 123
ΔE to the lowest computed polymorph: 0.000 eV per atom
ΔE_f (raw): 12.981 kcal/mol of atoms


No. 14
This record from Alexandria via LeMat-Bulk describes a geometry-optimized SnBSbTe2 structure. The functional is PBE.

Unit cell a=5.7331 b=5.7331 c=5.6535 alpha=90.00 beta=90.00 gamma=90.00
Atoms (fractional coordinates):
Sn (0.0000, 0.0000, 0.0000)
B (0.5000, 0.5000, 0.5000)
Te (0.0000, 0.5000, 0.0000)
Sb (0.0000, 0.0000, 0.5000)
Te (0.5000, 0.0000, 0.0000)

space-group type: No. 123
ΔE to the lowest computed polymorph: 0.934 eV per atom
ΔE_f (raw): 34.517 kcal/mol of atoms


No. 15
This record from Alexandria via LeMat-Bulk describes a geometry-optimized Ti2SnBSb structure. The functional is PBE.

Unit cell a=4.4925 b=4.6368 c=4.4925 alpha=90.00 beta=90.00 gamma=90.00
Atoms (fractional coordinates):
Sn (0.5000, 0.5000, 0.5000)
Sb (0.0000, 0.5000, 0.0000)
Ti (0.5000, 0.0000, 0.0000)
B (0.0000, 0.0000, 0.0000)
Ti (0.0000, 0.0000, 0.5000)

space-group type: No. 123
ΔE_f (raw): 3.592 kcal/mol of atoms


No. 16
This record from Alexandria via LeMat-Bulk describes a geometry-optimized SrBSb3 structure. The functional is PBE.

Unit cell a=6.0013 b=6.0013 c=6.0013 alpha=90.00 beta=90.00 gamma=90.00
Atoms (fractional coordinates):
B (0.5000, 0.5000, 0.5000)
Sr (0.0000, 0.0000, 0.0000)
Sb (0.0000, 0.0000, 0.5000)
Sb (0.0000, 0.5000, 0.0000)
Sb (0.5000, 0.0000, 0.0000)

space-group type: No. 221
ΔE to the lowest computed polymorph: 1.474 eV per atom
ΔE_f (raw): 39.689 kcal/mol of atoms


No. 17
This record from Alexandria via LeMat-Bulk describes a geometry-optimized Sr2BSb structure. The functional is PBE.

Unit cell a=8.3379 b=8.3379 c=6.8868 alpha=52.75 beta=52.75 gamma=90.00
Each line ends with the local moment (μB).
Atoms (fractional coordinates):
B (0.2500, 0.7500, 0.5000)  0.54
Sr (0.3750, 0.4240, 0.7500)  0.11
Sb (0.7500, 0.2500, 0.5000)  0.05
Sr (0.5760, 0.1250, 0.2500)  0.11
B (0.5000, 0.5000, 0.0000)  0.54
Sb (0.0000, 0.0000, 0.0000)  0.05
Sr (0.1740, 0.6250, 0.2500)  0.11
Sr (0.8750, 0.8260, 0.7500)  0.11

space-group type: No. 122
ΔE to the lowest computed polymorph: 0.123 eV per atom
ΔE_f (raw): 6.601 kcal/mol of atoms


No. 18
This record from Alexandria via LeMat-Bulk describes a geometry-optimized Sr3BSb structure. The functional is PBE.

Unit cell a=5.4661 b=5.4661 c=5.4661 alpha=90.00 beta=90.00 gamma=90.00
Atoms (fractional coordinates):
Sr (0.0000, 0.5000, 0.0000)
Sr (0.0000, 0.0000, 0.5000)
Sr (0.5000, 0.0000, 0.0000)
Sb (0.5000, 0.5000, 0.5000)
B (0.0000, 0.0000, 0.0000)

space-group type: No. 221
ΔE to the lowest computed polymorph: 0.000 eV per atom
ΔE_f (raw): -3.126 kcal/mol of atoms


No. 19
This record from Alexandria via LeMat-Bulk describes a geometry-optimized Sr2BSb structure. The functional is PBE.

Unit cell a=5.4423 b=5.4423 c=5.4423 alpha=60.00 beta=60.00 gamma=60.00
Atoms (fractional coordinates):
B (0.0000, 0.0000, 0.0000)
Sr (0.2500, 0.2500, 0.2500)
Sr (0.7500, 0.7500, 0.7500)
Sb (0.5000, 0.5000, 0.5000)

space-group type: No. 225
ΔE to the lowest computed polymorph: 0.000 eV per atom
ΔE_f (raw): 3.761 kcal/mol of atoms


No. 20
This record from Alexandria via LeMat-Bulk describes a geometry-optimized SrB3Sb structure. The functional is PBE.

Unit cell a=4.8860 b=4.8860 c=4.8860 alpha=90.00 beta=90.00 gamma=90.00
Atoms (fractional coordinates):
B (0.0000, 0.5000, 0.0000)
B (0.0000, 0.0000, 0.5000)
Sb (0.5000, 0.5000, 0.5000)
B (0.5000, 0.0000, 0.0000)
Sr (0.0000, 0.0000, 0.0000)

space-group type: No. 221
ΔE to the lowest computed polymorph: 1.147 eV per atom
ΔE_f (raw): 60.752 kcal/mol of atoms


No. 21
This record from Alexandria via LeMat-Bulk describes a geometry-optimized SrB3Sb structure. The functional is PBE.

Unit cell a=4.5865 b=4.5865 c=4.5865 alpha=90.00 beta=90.00 gamma=90.00
Atoms (fractional coordinates):
Sb (0.0000, 0.0000, 0.0000)
B (0.0000, 0.5000, 0.0000)
B (0.0000, 0.0000, 0.5000)
Sr (0.5000, 0.5000, 0.5000)
B (0.5000, 0.0000, 0.0000)

space-group type: No. 221
ΔE to the lowest computed polymorph: 0.000 eV per atom
ΔE_f (raw): 34.292 kcal/mol of atoms


No. 22
This record from Alexandria via LeMat-Bulk describes a geometry-optimized SrBSb structure. The functional is PBE.

Unit cell a=3.8127 b=6.5636 c=6.7012 alpha=100.17 beta=90.00 gamma=106.88
Atoms (fractional coordinates):
B (0.3494, 0.6988, 0.5392)
Sb (0.1629, 0.3258, 0.2624)
B (0.6506, 0.3012, 0.4608)
Sr (0.1150, 0.2299, 0.7442)
Sr (0.8850, 0.7701, 0.2558)
Sb (0.8371, 0.6742, 0.7376)

space-group type: No. 12
ΔE_f (raw): 2.359 kcal/mol of atoms


No. 23
This record from Alexandria via LeMat-Bulk describes a geometry-optimized SrBSb3 structure. The functional is PBE.

Unit cell a=5.0599 b=5.0599 c=5.0599 alpha=90.00 beta=90.00 gamma=90.00
Atoms (fractional coordinates):
B (0.0000, 0.0000, 0.0000)
Sr (0.5000, 0.5000, 0.5000)
Sb (0.0000, 0.5000, 0.0000)
Sb (0.0000, 0.0000, 0.5000)
Sb (0.5000, 0.0000, 0.0000)

space-group type: No. 221
ΔE to the lowest computed polymorph: 0.000 eV per atom
ΔE_f (raw): 5.688 kcal/mol of atoms


No. 24
This record from Alexandria via LeMat-Bulk describes a geometry-optimized SrBSb2Te structure. The functional is PBE.

Unit cell a=5.0155 b=5.0155 c=5.1819 alpha=90.00 beta=90.00 gamma=90.00
Atoms (fractional coordinates):
Sb (0.0000, 0.5000, 0.0000)
Sr (0.5000, 0.5000, 0.5000)
Te (0.0000, 0.0000, 0.5000)
Sb (0.5000, 0.0000, 0.0000)
B (0.0000, 0.0000, 0.0000)

space-group type: No. 123
ΔE to the lowest computed polymorph: 0.000 eV per atom
ΔE_f (raw): 3.958 kcal/mol of atoms


No. 25
This record from Alexandria via LeMat-Bulk describes a geometry-optimized SrBSb2Te structure. The functional is PBE.

Unit cell a=6.0696 b=6.0696 c=6.0424 alpha=90.00 beta=90.00 gamma=90.00
Atoms (fractional coordinates):
Sb (0.0000, 0.5000, 0.0000)
Sb (0.5000, 0.0000, 0.0000)
B (0.5000, 0.5000, 0.5000)
Sr (0.0000, 0.0000, 0.0000)
Te (0.0000, 0.0000, 0.5000)

space-group type: No. 123
ΔE to the lowest computed polymorph: 1.368 eV per atom
ΔE_f (raw): 35.508 kcal/mol of atoms


No. 26
This record from Alexandria via LeMat-Bulk describes a geometry-optimized Ta3BSb structure. The functional is PBE.

Unit cell a=4.4049 b=4.4049 c=4.4049 alpha=90.00 beta=90.00 gamma=90.00
Atoms (fractional coordinates):
Sb (0.5000, 0.5000, 0.5000)
Ta (0.0000, 0.5000, 0.0000)
B (0.0000, 0.0000, 0.0000)
Ta (0.5000, 0.0000, 0.0000)
Ta (0.0000, 0.0000, 0.5000)

space-group type: No. 221
ΔE to the lowest computed polymorph: 0.000 eV per atom
ΔE_f (raw): 2.936 kcal/mol of atoms


No. 27
This record from Alexandria via LeMat-Bulk describes a geometry-optimized Ta2BSb structure. The functional is PBE.

Unit cell a=5.4827 b=5.4827 c=6.9337 alpha=66.71 beta=66.71 gamma=90.00
Atoms (fractional coordinates):
Ta (0.3750, 0.4805, 0.7500)
Ta (0.2305, 0.6250, 0.2500)
Sb (0.7500, 0.2500, 0.5000)
Ta (0.5195, 0.1250, 0.2500)
Sb (0.0000, 0.0000, 0.0000)
Ta (0.8750, 0.7695, 0.7500)
B (0.2500, 0.7500, 0.5000)
B (0.5000, 0.5000, 0.0000)

space-group type: No. 122
ΔE to the lowest computed polymorph: 0.000 eV per atom
ΔE_f (raw): 14.409 kcal/mol of atoms